1.
Below is a relaxed Li2YPd2 crystal, with properties calculated at the GGA-PBE level.

The structure in CIF format:
```
data_Li2YPd2
_chemical_formula_sum 'Li4 Y2 Pd4'
_symmetry_space_group_name_H-M 'I 4/m m m'
_symmetry_Int_Tables_number 139
_symmetry_space_group_name_Hall '-I 4 2'
_cell_length_a 3.753
_cell_length_b 3.753
_cell_length_c 12.923
_cell_angle_alpha 90.00
_cell_angle_beta 90.00
_cell_angle_gamma 90.00
loop_
_atom_site_label
_atom_site_type_symbol
_atom_site_fract_x
_atom_site_fract_y
_atom_site_fract_z
_atom_site_occupancy
Li1 Li 0.000 0.500 0.250 1
Y1 Y 0.000 0.000 0.000 1
Pd1 Pd 0.000 0.000 0.394 1
```

2.
Below is a relaxed LiYPd2 crystal, with properties calculated at the GGA-PBE level.

The structure in CIF format:
```
data_LiYPd2
_chemical_formula_sum 'Li4 Y4 Pd8'
_symmetry_space_group_name_H-M 'F -4 3 m'
_symmetry_Int_Tables_number 216
_symmetry_space_group_name_Hall 'F -4 2 3'
_cell_length_a 6.591
_cell_length_b 6.591
_cell_length_c 6.591
_cell_angle_alpha 90.00
_cell_angle_beta 90.00
_cell_angle_gamma 90.00
loop_
_atom_site_label
_atom_site_type_symbol
_atom_site_fract_x
_atom_site_fract_y
_atom_site_fract_z
_atom_site_occupancy
Li1 Li 0.000 0.000 0.000 1
Y1 Y 0.250 0.250 0.250 1
Pd1 Pd 0.000 0.000 0.500 1
Pd2 Pd 0.250 0.250 0.750 1
```

3.
Below is a relaxed LiYPd crystal, with properties calculated at the GGA-PBE level.

## Properties
As for the offset from the most stable computed form: 0.52 eV per formula unit.

The structure in CIF format:
```
data_LiYPd
_chemical_formula_sum 'Li4 Y4 Pd4'
_symmetry_space_group_name_H-M 'F -4 3 m'
_symmetry_Int_Tables_number 216
_symmetry_space_group_name_Hall 'F -4 2 3'
_cell_length_a 6.563
_cell_length_b 6.563
_cell_length_c 6.563
_cell_angle_alpha 90.00
_cell_angle_beta 90.00
_cell_angle_gamma 90.00
loop_
_atom_site_label
_atom_site_type_symbol
_atom_site_fract_x
_atom_site_fract_y
_atom_site_fract_z
_atom_site_occupancy
Li1 Li 0.000 0.000 0.000 1
Y1 Y 0.250 0.250 0.250 1
Pd1 Pd 0.000 0.000 0.500 1
```

4.
Below is a relaxed LiY2Pd5 crystal, with properties calculated at the GGA-PBE level.

The structure in CIF format:
```
data_LiY2Pd5
_chemical_formula_sum 'Li2 Y4 Pd10'
_symmetry_space_group_name_H-M 'I 4 m m'
_symmetry_Int_Tables_number 107
_symmetry_space_group_name_Hall 'I 4 -2'
_cell_length_a 5.945
_cell_length_b 5.945
_cell_length_c 7.974
_cell_angle_alpha 90.00
_cell_angle_beta 90.00
_cell_angle_gamma 90.00
loop_
_atom_site_label
_atom_site_type_symbol
_atom_site_fract_x
_atom_site_fract_y
_atom_site_fract_z
_atom_site_occupancy
Li1 Li 0.000 0.000 0.000 1
Y1 Y 0.000 0.500 0.001 1
Pd1 Pd 0.000 0.000 0.501 1
Pd2 Pd 0.250 0.250 0.251 1
```

| no. | uncorrected energy (eV/atom) |
| --- | --- |
| 1 | -4.69 |
| 2 | -5.26 |
| 3 | -4.54 |
| 4 | -5.91 |